Material: CaSi2P
Method: DFT, PBE
State: optimized geometry

```
data_CaSi2P
_symmetry_space_group_name_H-M 'R -3 m'
_symmetry_Int_Tables_number 166
_symmetry_space_group_name_Hall '-R 3 2"'
_cell_length_a 3.4931
_cell_length_b 3.4931
_cell_length_c 22.5800
_cell_angle_alpha 90.00
_cell_angle_beta 90.00
_cell_angle_gamma 120.00
loop_
_atom_site_label
_atom_site_type_symbol
_atom_site_fract_x
_atom_site_fract_y
_atom_site_fract_z
Ca1 Ca 0.0000 0.0000 0.0000
Si1 Si 0.0000 0.0000 0.2306
P1 P 0.0000 0.0000 0.5000
```

Values from the calculation:
Formation energy (no corrections) (eV/atom): 0.101
Crystal system: trigonal
Calculated total energy (Ha/atom): -0.164

Material: Ca4SiP
Method: DFT, PBE
State: optimized geometry

```
data_Ca4SiP
_symmetry_space_group_name_H-M 'F -4 3 m'
_symmetry_Int_Tables_number 216
_symmetry_space_group_name_Hall 'F -4 2 3'
_cell_length_a 8.714
_cell_length_b 8.714
_cell_length_c 8.714
_cell_angle_alpha 90.00
_cell_angle_beta 90.00
_cell_angle_gamma 90.00
loop_
_atom_site_label
_atom_site_type_symbol
_atom_site_fract_x
_atom_site_fract_y
_atom_site_fract_z
Ca1 Ca 0.125 0.125 0.125
Si1 Si 0.000 0.000 0.500
P1 P 0.250 0.250 0.750
```

Values from the calculation:
Formation energy (no corrections) (eV/atom): 0.494
Crystal system: cubic
Calculated total energy (Ha/atom): -0.097
ΔE to the lowest computed polymorph (kJ/mol of atoms): 119.5

Material: CaSi2P
Method: DFT, PBE
State: optimized geometry

```
data_CaSi2P
_symmetry_space_group_name_H-M 'P n m a'
_symmetry_Int_Tables_number 62
_cell_length_a 5.735
_cell_length_b 4.300
_cell_length_c 13.357
_cell_angle_alpha 90.00
_cell_angle_beta 90.00
_cell_angle_gamma 90.00
loop_
_symmetry_equiv_pos_as_xyz
'x,y,z'
'-x,-y,-z'
'-x+1/2,-y,z+1/2'
'x+1/2,y,-z+1/2'
'x+1/2,-y+1/2,-z+1/2'
'-x+1/2,y+1/2,z+1/2'
'-x,y+1/2,-z'
'x,-y+1/2,z'
loop_
_atom_site_label
_atom_site_type_symbol
_atom_site_fract_x
_atom_site_fract_y
_atom_site_fract_z
Ca1 Ca 0.248 0.250 0.060
Si1 Si 0.058 0.250 0.832
Si2 Si 0.250 0.250 0.374
P1 P 0.038 0.750 0.337
```

Values from the calculation:
Formation energy (no corrections) (eV/atom): -0.231
Crystal system: orthorhombic
Calculated total energy (Ha/atom): -0.176

Material: CaSiP
Method: DFT, PBE
State: optimized geometry

```
data_CaSiP
_symmetry_space_group_name_H-M 'P n m a'
_symmetry_Int_Tables_number 62
_cell_length_a 6.715
_cell_length_b 3.474
_cell_length_c 10.605
_cell_angle_alpha 90.00
_cell_angle_beta 90.00
_cell_angle_gamma 90.00
loop_
_symmetry_equiv_pos_as_xyz
'x,y,z'
'-x,-y,-z'
'-x+1/2,-y,z+1/2'
'x+1/2,y,-z+1/2'
'x+1/2,-y+1/2,-z+1/2'
'-x+1/2,y+1/2,z+1/2'
'-x,y+1/2,-z'
'x,-y+1/2,z'
loop_
_atom_site_label
_atom_site_type_symbol
_atom_site_fract_x
_atom_site_fract_y
_atom_site_fract_z
Ca1 Ca 0.154 0.250 0.142
Si1 Si 0.112 0.250 0.442
P1 P 0.202 0.250 0.856
```

Values from the calculation:
Formation energy (no corrections) (eV/atom): -0.599
Crystal system: orthorhombic
Calculated total energy (Ha/atom): -0.179

Material: CaSi2P
Method: DFT, PBE
State: optimized geometry

```
data_CaSi2P
_symmetry_space_group_name_H-M 'C 1 2/m 1'
_symmetry_Int_Tables_number 12
_cell_length_a 9.159
_cell_length_b 3.458
_cell_length_c 5.071
_cell_angle_alpha 90.00
_cell_angle_beta 108.25
_cell_angle_gamma 90.00
loop_
_symmetry_equiv_pos_as_xyz
'x,y,z'
'-x,-y,-z'
'-x,y,-z'
'x,-y,z'
'x+1/2,y+1/2,z'
'-x+1/2,-y+1/2,-z'
'-x+1/2,y+1/2,-z'
'x+1/2,-y+1/2,z'
loop_
_atom_site_label
_atom_site_type_symbol
_atom_site_fract_x
_atom_site_fract_y
_atom_site_fract_z
Ca1 Ca 0.000 0.000 0.000
Si1 Si 0.220 0.000 0.647
P1 P 0.000 0.500 0.500
```

Values from the calculation:
Formation energy (no corrections) (eV/atom): -0.172
Crystal system: monoclinic
Calculated total energy (Ha/atom): -0.174

Material: Ca3Si2P4
Method: DFT, PBE
State: optimized geometry

```
data_Ca3Si2P4
_symmetry_space_group_name_H-M 'P 1 21/c 1'
_symmetry_Int_Tables_number 14
_cell_length_a 7.107
_cell_length_b 17.290
_cell_length_c 6.945
_cell_angle_alpha 90.00
_cell_angle_beta 111.79
_cell_angle_gamma 90.00
loop_
_symmetry_equiv_pos_as_xyz
'x,y,z'
'-x,-y,-z'
'-x,y+1/2,-z+1/2'
'x,-y+1/2,z+1/2'
loop_
_atom_site_label
_atom_site_type_symbol
_atom_site_fract_x
_atom_site_fract_y
_atom_site_fract_z
Ca1 Ca 0.216 0.184 0.012
Ca2 Ca 0.256 0.062 0.512
Ca3 Ca 0.261 0.558 0.504
Si1 Si 0.212 0.628 0.029
Si2 Si 0.317 0.742 0.915
P1 P 0.010 0.561 0.755
P2 P 0.044 0.686 0.221
P3 P 0.494 0.568 0.240
P4 P 0.499 0.199 0.776
```

Values from the calculation:
Formation energy (no corrections) (eV/atom): -0.887
Crystal system: monoclinic
Calculated total energy (Ha/atom): -0.190
ΔE to the lowest computed polymorph (kJ/mol of atoms): 0.0

Material: CaSiP
Method: DFT, PBE
State: optimized geometry

```
data_CaSiP
_symmetry_space_group_name_H-M 'A m m 2'
_symmetry_Int_Tables_number 38
_cell_length_a 3.587
_cell_length_b 5.861
_cell_length_c 6.666
_cell_angle_alpha 90.00
_cell_angle_beta 90.00
_cell_angle_gamma 90.00
loop_
_symmetry_equiv_pos_as_xyz
'x,y,z'
'-x,-y,z'
'-x,y,z'
'x,-y,z'
'x,y+1/2,z+1/2'
'-x,-y+1/2,z+1/2'
'-x,y+1/2,z+1/2'
'x,-y+1/2,z+1/2'
loop_
_atom_site_label
_atom_site_type_symbol
_atom_site_fract_x
_atom_site_fract_y
_atom_site_fract_z
Ca1 Ca 0.000 0.000 0.000
Si1 Si 0.000 0.000 0.553
P1 P 0.500 0.000 0.344
```

Values from the calculation:
Formation energy (no corrections) (eV/atom): -0.350
Crystal system: orthorhombic
Calculated total energy (Ha/atom): -0.170

Material: CaSiTc2P
Method: DFT, PBE
State: optimized geometry

```
data_CaSiTc2P
_symmetry_space_group_name_H-M 'P 4/m m m'
_symmetry_Int_Tables_number 123
_symmetry_space_group_name_Hall '-P 4 2'
_cell_length_a 4.472
_cell_length_b 4.472
_cell_length_c 4.781
_cell_angle_alpha 90.00
_cell_angle_beta 90.00
_cell_angle_gamma 90.00
loop_
_atom_site_label
_atom_site_type_symbol
_atom_site_fract_x
_atom_site_fract_y
_atom_site_fract_z
Ca1 Ca 0.000 0.000 0.000
Si1 Si 0.500 0.500 0.000
Tc1 Tc 0.000 0.500 0.500
P1 P 0.500 0.500 0.500
```

Values from the calculation:
Formation energy (no corrections) (eV/atom): 0.391
Crystal system: tetragonal
Calculated total energy (Ha/atom): -0.232

Material: CaSmP
Method: DFT, PBE
State: optimized geometry

```
data_CaSmP
_symmetry_space_group_name_H-M 'P -3 m 1'
_symmetry_Int_Tables_number 164
_symmetry_space_group_name_Hall '-P 3 2"'
_cell_length_a 4.0254
_cell_length_b 4.0254
_cell_length_c 34.5848
_cell_angle_alpha 90.00
_cell_angle_beta 90.00
_cell_angle_gamma 120.00
loop_
_atom_site_label
_atom_site_type_symbol
_atom_site_fract_x
_atom_site_fract_y
_atom_site_fract_z
Ca1 Ca 0.3333 0.6667 0.3509
Ca2 Ca 0.3333 0.6667 0.4434
Sm1 Sm 0.3333 0.6667 0.7482
Sm2 Sm 0.3333 0.6667 0.8462
P1 P 0.3333 0.6667 0.2015
P2 P 0.3333 0.6667 0.6020
```

Values from the calculation:
ΔE_f (eV/f.u.): -1.81
Crystal system: trigonal
Calculated total energy (Ha/atom): -0.171

Material: CaSm3P4
Method: DFT, PBE
State: optimized geometry

```
data_CaSm3P4
_symmetry_space_group_name_H-M 'P 1 2/c 1'
_symmetry_Int_Tables_number 13
_cell_length_a 7.131
_cell_length_b 8.243
_cell_length_c 7.129
_cell_angle_alpha 90.00
_cell_angle_beta 109.55
_cell_angle_gamma 90.00
loop_
_symmetry_equiv_pos_as_xyz
'x,y,z'
'-x,-y,-z'
'-x,y,-z+1/2'
'x,-y,z+1/2'
loop_
_atom_site_label
_atom_site_type_symbol
_atom_site_fract_x
_atom_site_fract_y
_atom_site_fract_z
Ca1 Ca 0.000 0.124 0.250
Sm1 Sm 0.000 0.373 0.750
Sm2 Sm 0.500 0.123 0.750
Sm3 Sm 0.500 0.373 0.250
P1 P 0.251 0.378 0.503
P2 P 0.256 0.128 0.998
```

Values from the calculation:
ΔE_f (eV/f.u.): -10.98
Crystal system: monoclinic
Calculated total energy (Ha/atom): -0.224

Material: CaSmP2
Method: DFT, PBE
State: optimized geometry

```
data_CaSmP2
_symmetry_space_group_name_H-M 'R -3 m'
_symmetry_Int_Tables_number 166
_symmetry_space_group_name_Hall '-R 3 2"'
_cell_length_a 4.1057
_cell_length_b 4.1057
_cell_length_c 20.4288
_cell_angle_alpha 90.00
_cell_angle_beta 90.00
_cell_angle_gamma 120.00
loop_
_atom_site_label
_atom_site_type_symbol
_atom_site_fract_x
_atom_site_fract_y
_atom_site_fract_z
Ca1 Ca 0.0000 0.0000 0.0000
Sm1 Sm 0.0000 0.0000 0.5000
P1 P 0.0000 0.0000 0.2471
```

Values from the calculation:
ΔE_f (eV/f.u.): -4.62
Crystal system: trigonal
Calculated total energy (Ha/atom): -0.204
ΔE to the lowest computed polymorph (kJ/mol of atoms): 0.0

- The lowest calculated total energy belongs to which entry?
  CaSiTc2P